(1)
The following is a PBE calculation of a relaxed structure of AcPrAlHg, from Alexandria.

Lattice parameters (Å, degrees): 5.5555 5.5555 5.5555 60.00 60.00 60.00
Last column: nearest neighbours and their distance in Å.
Fractional coordinates of all 4 atoms:
1 Hg 0.7500 0.7500 0.7500  4 Ac 3.40, 4 Pr 3.40
2 Ac 0.5000 0.5000 0.5000  4 Hg 3.40, 4 Al 3.40
3 Al 0.2500 0.2500 0.2500  4 Ac 3.40, 4 Pr 3.40
4 Pr 0.0000 0.0000 0.0000  4 Al 3.40, 4 Hg 3.40

Output
E ... -3.56 eV/atom
Crystal system ... cubic
Calculated density ... 8.2 Mg/m³
Space-group type ... No. 216

---

(2)
The following is a PBE calculation of a relaxed structure of Ta2TlGaRu, from Alexandria.

Lattice parameters (Å, degrees): 4.8197 4.5500 4.8197 90.00 90.00 90.00
Last column: nearest neighbours and their distance in Å.
Fractional coordinates of all 5 atoms:
1 Ru 0.0000 0.5000 0.0000  2 Ga 2.27
2 Ta 0.0000 0.0000 0.5000  2 Ga 2.41
3 Ta 0.5000 0.0000 0.0000  2 Ga 2.41
4 Tl 0.5000 0.5000 0.5000  8 Ta 3.31, 4 Ru 3.41
5 Ga 0.0000 0.0000 0.0000  2 Ru 2.27, 4 Ta 2.41

Output
E ... -6.51 eV/atom
Crystal system ... tetragonal
Calculated density ... 11.6 Mg/m³
Space-group type ... No. 123

---

(3)
The following is a PBE calculation of a relaxed structure of Rb4Nd3InTe8, from Alexandria.

Lattice parameters (Å, degrees): 9.2336 10.1069 9.2349 117.19 120.00 90.00
Last column: nearest neighbours and their distance in Å.
Fractional coordinates of all 16 atoms:
1 Te 0.7714 0.2995 0.0280  1 In 3.11, 2 Nd 3.21
2 Te 0.2647 0.2939 0.5293  3 Nd 3.20
3 Te 0.2288 0.7007 0.4576  1 In 3.11, 2 Nd 3.21
4 Te 0.7353 0.7061 0.4707  3 Nd 3.20
5 Te 0.2566 0.2995 0.0280  1 In 3.11, 2 Nd 3.21
6 Te 0.2286 0.7005 0.9720  1 In 3.11, 2 Nd 3.21
7 Te 0.7434 0.7005 0.9720  1 In 3.11, 2 Nd 3.21
8 Te 0.7712 0.2993 0.5424  1 In 3.11, 2 Nd 3.21
9 Rb 0.5000 0.0000 0.5000  6 Te 3.67-3.68
10 Rb 0.0000 0.0000 0.0000  6 Te 3.67-3.68
11 Rb 0.5000 0.0000 0.0000  6 Te 3.76
12 Rb 0.0000 0.0000 0.5000  6 Te 3.67-3.68
13 In 0.0000 0.5000 0.0000  6 Te 3.11
14 Nd 0.5000 0.5000 0.0000  6 Te 3.20-3.21
15 Nd 0.0000 0.5000 0.5000  6 Te 3.20-3.21
16 Nd 0.5000 0.5000 0.5000  6 Te 3.20-3.21

Output
E ... -4.06 eV/atom
Crystal system ... trigonal
Calculated density ... 5.0 Mg/m³
Raw formation energy ... -1.1801 eV per atom
Space-group type ... No. 166

---

(4)
The following is a PBE calculation of a relaxed structure of La2Al3Ag4Hg, from Alexandria.

Lattice parameters (Å, degrees): 4.5074 4.5074 11.0614 90.00 90.00 90.00
Last column: nearest neighbours and their distance in Å.
Fractional coordinates of all 10 atoms:
1 Ag 0.5000 0.0000 0.6468  3 Al 2.54-2.78, 2 Hg 2.78
2 Ag 0.0000 0.0000 0.0000  4 Al 2.64
3 Ag 0.0000 0.5000 0.3532  3 Al 2.54-2.78, 2 Hg 2.78
4 Ag 0.5000 0.5000 0.0000  4 Al 2.64
5 La 0.5000 0.0000 0.2445  8 Ag 3.41-3.52, 6 Al 3.45-3.61, 2 Hg 3.61
6 La 0.0000 0.5000 0.7555  8 Ag 3.41-3.52, 6 Al 3.45-3.61, 2 Hg 3.61
7 Al 0.5000 0.0000 0.8760  5 Ag 2.54-2.64
8 Al 0.0000 0.0000 0.5000  4 Ag 2.78
9 Al 0.0000 0.5000 0.1240  5 Ag 2.54-2.64
10 Hg 0.5000 0.5000 0.5000  4 Ag 2.78

Output
E ... -3.58 eV/atom
Crystal system ... tetragonal
Calculated density ... 7.3 Mg/m³
Space-group type ... No. 115

---

(5)
The following is a PBE calculation of a relaxed structure of MgGeRu, from Alexandria.

Lattice parameters (Å, degrees): 3.2940 4.2685 6.7003 90.10 75.79 90.00
Last column: nearest neighbours and their distance in Å.
Fractional coordinates of all 6 atoms:
1 Mg 0.5458 0.8723 0.6511  6 Ru 2.71-2.81, 4 Ge 2.73-2.74
2 Mg 0.3593 0.3702 0.0248  6 Ge 2.70-2.88, 4 Ru 2.73-2.79
3 Ru 0.2208 0.8709 0.3011  6 Ge 2.61-2.76, 4 Mg 2.79-2.81
4 Ru 0.0265 0.3724 0.6899  2 Ge 2.56, 6 Mg 2.71-2.73
5 Ge 0.6772 0.3712 0.3882  6 Ru 2.56-2.76, 2 Mg 2.73
6 Ge 0.8771 0.8699 0.9890  4 Ru 2.61-2.90, 6 Mg 2.70-2.74

Output
E ... -5.39 eV/atom
Crystal system ... monoclinic
Calculated density ... 7.2 Mg/m³
Space-group type ... No. 8

---

(6)
The following is a PBE calculation of a relaxed structure of MgNp3Tl3S8, from Alexandria.

Lattice parameters (Å, degrees): 7.9203 7.9208 8.8176 116.68 90.00 120.00
Last column: nearest neighbours and their distance in Å.
Fractional coordinates of all 15 atoms:
1 Np 0.5000 0.0000 0.5000  6 S 2.70-2.72
2 Np 0.5000 0.5000 0.5000  6 S 2.70-2.72
3 Np 0.0000 0.5000 0.5000  6 S 2.70-2.72
4 S 0.7712 0.5423 0.3111  1 Mg 2.68, 2 Np 2.70
5 S 0.2289 0.9601 0.6890  1 Mg 2.69, 2 Np 2.70
6 S 0.7318 0.4637 0.6954  3 Np 2.72
7 S 0.2688 0.0399 0.3109  1 Mg 2.69, 2 Np 2.70
8 S 0.2682 0.5363 0.3046  3 Np 2.72
9 S 0.2288 0.4577 0.6889  1 Mg 2.68, 2 Np 2.70
10 S 0.7312 0.9601 0.6891  1 Mg 2.69, 2 Np 2.70
11 S 0.7711 0.0399 0.3110  1 Mg 2.69, 2 Np 2.70
12 Tl 0.0000 0.5000 0.0000  6 S 3.24-3.27
13 Tl 0.5000 0.5000 0.0000  6 S 3.24-3.27
14 Tl 0.0000 0.0000 0.0000  6 S 3.24-3.27
15 Mg 0.0000 0.0000 0.5000  6 S 2.68-2.69

Output
E ... -6.42 eV/atom
Crystal system ... trigonal
Calculated density ... 6.5 Mg/m³
Raw formation energy ... -1.0548 eV per atom
Space-group type ... No. 166

---

(7)
The following is a PBE calculation of a relaxed structure of ZrZn3Ir, from Alexandria.

Lattice parameters (Å, degrees): 4.6748 4.6748 4.6748 90.00 90.00 90.00
Last column: nearest neighbours and their distance in Å.
Fractional coordinates of all 5 atoms:
1 Ir 0.0000 0.0000 0.0000  6 Zn 2.34
2 Zr 0.5000 0.5000 0.5000  12 Zn 3.31
3 Zn 0.5000 0.0000 0.0000  2 Ir 2.34
4 Zn 0.0000 0.0000 0.5000  2 Ir 2.34
5 Zn 0.0000 0.5000 0.0000  2 Ir 2.34

Output
E ... -3.93 eV/atom
Crystal system ... cubic
ΔE to the lowest computed polymorph ... 0 meV/atom
Calculated density ... 7.8 Mg/m³
Space-group type ... No. 221

---

(8)
The following is a PBE calculation of a relaxed structure of TiTc3, from Alexandria.

Lattice parameters (Å, degrees): 3.0723 3.0722 6.2654 90.00 90.00 90.00
Last column: nearest neighbours and their distance in Å.
Fractional coordinates of all 4 atoms:
1 Tc 0.0000 0.0000 0.5000  8 Tc 2.69
2 Tc 0.5000 0.5000 0.2464  4 Ti 2.66, 4 Tc 2.69
3 Tc 0.5000 0.5000 0.7536  4 Ti 2.66, 4 Tc 2.69
4 Ti 0.0000 0.0000 0.0000  8 Tc 2.66

Output
E ... -9.97 eV/atom
Crystal system ... tetragonal
Calculated density ... 9.6 Mg/m³
Space-group type ... No. 123

---

(9)
The following is a PBE calculation of a relaxed structure of Ac7La3Er2, from Alexandria.

Lattice parameters (Å, degrees): 3.7839 6.9775 19.2160 75.07 90.00 90.00
Last column: nearest neighbours and their distance in Å.
Fractional coordinates of all 12 atoms:
1 Ac 0.5000 0.0531 0.1755  1 Er 3.69, 8 Ac 3.78-3.98, 3 La 3.84-3.96
2 Ac 0.5000 0.7582 0.4944  4 Ac 3.44-3.78, 2 Er 3.53-3.67, 2 La 3.84
3 Ac 0.5000 0.2418 0.5056  4 Ac 3.44-3.78, 2 Er 3.53-3.67, 2 La 3.84
4 Ac 0.0000 0.4431 0.8277  2 Er 3.70, 7 Ac 3.78-3.98, 3 La 3.84-3.92
5 Ac 0.0000 0.5569 0.1723  2 Er 3.70, 7 Ac 3.78-3.98, 3 La 3.84-3.92
6 Ac 0.5000 0.9469 0.8245  1 Er 3.69, 8 Ac 3.78-3.98, 3 La 3.84-3.96
7 Ac 0.0000 0.0000 0.0000  8 Ac 3.78-3.97, 4 La 3.97
8 La 0.0000 0.1209 0.3415  2 La 3.78, 7 Ac 3.84-3.95, 4 Er 3.89-4.06
9 La 0.5000 0.5000 0.0000  2 La 3.78, 10 Ac 3.92-3.97
10 La 0.0000 0.8791 0.6585  2 La 3.78, 7 Ac 3.84-3.95, 4 Er 3.89-4.06
11 Er 0.5000 0.3861 0.6688  5 Ac 3.53-3.70, 2 Er 3.78, 2 La 3.89
12 Er 0.5000 0.6139 0.3312  5 Ac 3.53-3.70, 2 Er 3.78, 2 La 3.89

Output
E ... -4.28 eV/atom
Crystal system ... monoclinic
Calculated density ... 7.9 Mg/m³
Space-group type ... No. 10

---

(10)
The following is a PBE calculation of a relaxed structure of AgAs2Pt, from Alexandria.

Lattice parameters (Å, degrees): 7.3554 7.3554 7.3554 27.79 27.79 27.79
Last column: nearest neighbours and their distance in Å.
Fractional coordinates of all 4 atoms:
1 As 0.2401 0.2401 0.2401  3 Pt 2.45
2 As 0.0018 0.0018 0.0018  3 Ag 2.66, 3 As 2.87
3 Pt 0.5090 0.5090 0.5090  3 As 2.45
4 Ag 0.7492 0.7492 0.7492  3 As 2.66, 3 Pt 2.84

Output
E ... -4.48 eV/atom
Crystal system ... trigonal
ΔE to the lowest computed polymorph ... 124 meV/atom
Calculated density ... 9.8 Mg/m³
Space-group type ... No. 160

---

(11)
The following is a PBE calculation of a relaxed structure of CeMgTlRu, from Alexandria.

Lattice parameters (Å, degrees): 4.9766 4.9766 4.9766 60.00 60.00 60.00
Last column: nearest neighbours and their distance in Å.
Fractional coordinates of all 4 atoms:
1 Ru 0.5000 0.5000 0.5000  4 Mg 3.05, 4 Ce 3.05
2 Ce 0.7500 0.7500 0.7500  4 Tl 3.05, 4 Ru 3.05
3 Tl 0.0000 0.0000 0.0000  4 Mg 3.05, 4 Ce 3.05
4 Mg 0.2500 0.2500 0.2500  4 Ru 3.05, 4 Tl 3.05

Output
E ... -4.79 eV/atom
Crystal system ... cubic
Calculated density ... 9.0 Mg/m³
Space-group type ... No. 216

---

(12)
The following is a PBE calculation of a relaxed structure of Nb2PdRh, from Alexandria.

Lattice parameters (Å, degrees): 4.0262 4.0137 4.0137 90.00 90.00 90.00
Last column: nearest neighbours and their distance in Å.
Fractional coordinates of all 4 atoms:
1 Nb 0.0000 0.0000 0.5000  4 Nb 2.84, 4 Pd 2.84, 4 Rh 2.84
2 Nb 0.0000 0.5000 0.0000  4 Nb 2.84, 4 Pd 2.84, 4 Rh 2.84
3 Pd 0.5000 0.5000 0.5000  4 Rh 2.84, 8 Nb 2.84
4 Rh 0.5000 0.0000 0.0000  4 Pd 2.84, 8 Nb 2.84

Output
E ... -8.53 eV/atom
Crystal system ... tetragonal
Calculated density ... 10.1 Mg/m³
Space-group type ... No. 123

---

(13)
The following is a PBE calculation of a relaxed structure of La2InBiPt, from Alexandria.

Lattice parameters (Å, degrees): 5.6697 5.1166 5.6697 90.00 90.00 90.00
Last column: nearest neighbours and their distance in Å.
Fractional coordinates of all 5 atoms:
1 La 0.0000 0.0000 0.5000  2 Pt 2.83
2 La 0.5000 0.0000 0.0000  2 Pt 2.83
3 Bi 0.5000 0.5000 0.5000  8 La 3.82, 4 In 4.01
4 Pt 0.0000 0.0000 0.0000  2 In 2.56, 4 La 2.83
5 In 0.0000 0.5000 0.0000  2 Pt 2.56

Output
E ... -5.25 eV/atom
Crystal system ... tetragonal
ΔE to the lowest computed polymorph ... 0 meV/atom
Calculated density ... 8.0 Mg/m³
Space-group type ... No. 123

---

(14)
The following is a PBE calculation of a relaxed structure of ThBeCu3, from Alexandria.

Lattice parameters (Å, degrees): 4.3279 4.3279 4.3279 90.00 90.00 90.00
Last column: nearest neighbours and their distance in Å.
Fractional coordinates of all 5 atoms:
1 Cu 0.0000 0.0000 0.5000  2 Be 2.16
2 Cu 0.0000 0.5000 0.0000  2 Be 2.16
3 Cu 0.5000 0.0000 0.0000  2 Be 2.16
4 Be 0.0000 0.0000 0.0000  6 Cu 2.16
5 Th 0.5000 0.5000 0.5000  12 Cu 3.06

Output
E ... -4.67 eV/atom
Crystal system ... cubic
Calculated density ... 8.8 Mg/m³
Space-group type ... No. 221

---

(15)
The following is a PBE calculation of a relaxed structure of CaZnCu5, from Alexandria.

Lattice parameters (Å, degrees): 5.0769 8.0822 10.2534 90.00 90.00 90.00
Last column: nearest neighbours and their distance in Å.
Fractional coordinates of all 28 atoms:
1 Cu 0.2500 0.5979 0.0178  5 Cu 2.48-2.56, 1 Zn 2.64
2 Cu 0.2500 0.0979 0.4822  5 Cu 2.48-2.56, 1 Zn 2.64
3 Cu 0.7500 0.9021 0.5178  5 Cu 2.48-2.56, 1 Zn 2.64
4 Cu 0.4939 0.5654 0.8097  7 Cu 2.48-2.60, 2 Zn 2.70-2.73
5 Cu 0.7500 0.8171 0.7534  7 Cu 2.48-2.59
6 Cu 0.5061 0.4346 0.1903  7 Cu 2.48-2.60, 2 Zn 2.70-2.73
7 Cu 0.7500 0.4021 0.9822  5 Cu 2.48-2.56, 1 Zn 2.64
8 Cu 0.2500 0.6829 0.2534  7 Cu 2.48-2.59
9 Cu 0.9939 0.9346 0.3097  7 Cu 2.48-2.60, 2 Zn 2.70-2.73
10 Cu 0.2500 0.4350 0.4025  4 Cu 2.52-2.59, 1 Zn 2.52
11 Cu 0.4939 0.0654 0.6903  7 Cu 2.48-2.60, 2 Zn 2.70-2.73
12 Cu 0.7500 0.3171 0.7466  7 Cu 2.48-2.59
13 Cu 0.5061 0.9346 0.3097  7 Cu 2.48-2.60, 2 Zn 2.70-2.73
14 Cu 0.0061 0.5654 0.8097  7 Cu 2.48-2.60, 2 Zn 2.70-2.73
15 Cu 0.2500 0.1829 0.2466  7 Cu 2.48-2.59
16 Cu 0.2500 0.9350 0.0975  4 Cu 2.52-2.59, 1 Zn 2.52
17 Cu 0.7500 0.0650 0.9025  4 Cu 2.52-2.59, 1 Zn 2.52
18 Cu 0.9939 0.4346 0.1903  7 Cu 2.48-2.60, 2 Zn 2.70-2.73
19 Cu 0.7500 0.5650 0.5975  4 Cu 2.52-2.59, 1 Zn 2.52
20 Cu 0.0061 0.0654 0.6903  7 Cu 2.48-2.60, 2 Zn 2.70-2.73
21 Ca 0.7500 0.2584 0.4380  11 Cu 2.89-3.20, 2 Zn 3.19-3.23
22 Ca 0.2500 0.2416 0.9380  11 Cu 2.89-3.20, 2 Zn 3.19-3.23
23 Ca 0.7500 0.7584 0.0620  11 Cu 2.89-3.20, 2 Zn 3.19-3.23
24 Ca 0.2500 0.7416 0.5620  11 Cu 2.89-3.20, 2 Zn 3.19-3.23
25 Zn 0.2500 0.3551 0.6405  8 Cu 2.52-2.78
26 Zn 0.7500 0.1449 0.1405  8 Cu 2.52-2.78
27 Zn 0.2500 0.8551 0.8595  8 Cu 2.52-2.78
28 Zn 0.7500 0.6449 0.3595  8 Cu 2.52-2.78

Output
E ... -3.51 eV/atom
Crystal system ... orthorhombic
Calculated density ... 6.7 Mg/m³
Space-group type ... No. 62

---

(16)
The following is a PBE calculation of a relaxed structure of Sn2As4H, from Alexandria.

Lattice parameters (Å, degrees): 3.9378 3.9378 9.6808 78.27 78.27 90.00
Last column: nearest neighbours and their distance in Å.
Fractional coordinates of all 7 atoms:
1 Sn 0.6445 0.6445 0.7110  5 As 2.93-2.99
2 Sn 0.3555 0.3555 0.2890  5 As 2.93-2.99
3 As 0.0000 0.5000 0.0000  2 H 1.97
4 As 0.8057 0.8057 0.3887  5 Sn 2.93-2.99
5 As 0.5000 0.0000 0.0000  2 H 1.97
6 As 0.1943 0.1943 0.6113  5 Sn 2.93-2.99
7 H 0.0000 0.0000 0.0000  4 As 1.97

Output
E ... -3.92 eV/atom
Crystal system ... tetragonal
Calculated density ... 6.2 Mg/m³
Space-group type ... No. 139